The following is a PBE calculation of a relaxed Na3PuTl3Br8 crystal, from Alexandria.

Calculated density ... 5.0 g/cm3
Calculated total energy ... -57.37 eV/cell
Uncorrected formation energy ... -1.240 eV per atom

Cell and atoms, written as POSCAR:
```
Na3PuTl3Br8
1.0
8.781 0.000 0.000
-4.390 7.610 -0.034
0.000 -5.048 7.836
Na Br Tl Pu
3 8 3 1
Cartesian
4.390 -2.524 3.918 Na
2.195 1.281 3.901 Na
-2.195 1.281 3.901 Na
0.000 2.541 2.255 Br
4.390 2.576 2.243 Br
6.613 -1.280 2.260 Br
-2.223 3.841 5.542 Br
4.390 0.021 5.547 Br
2.167 -1.280 2.260 Br
2.223 3.841 5.542 Br
0.000 -0.014 5.559 Br
0.000 0.000 0.000 Tl
-2.195 3.805 -0.017 Tl
2.195 3.805 -0.017 Tl
0.000 -2.524 3.918 Pu
```

=====

The following is a PBE calculation of a relaxed NaPuTlBr6 crystal, from Alexandria.

Calculated density ... 4.6 g/cm3
Calculated total energy ... -79.07 eV/cell
Uncorrected formation energy ... -1.276 eV per atom

Cell and atoms, written as POSCAR:
```
NaPuTlBr6
1.0
-5.689 -0.647 -4.893
0.566 -4.802 5.774
-7.806 8.623 7.936
Br Pu Tl Na
12 2 2 2
Cartesian
-3.183 0.816 -0.616 Br
-4.890 3.669 7.097 Br
-6.411 0.572 8.966 Br
-8.039 -0.494 1.721 Br
-8.153 1.965 5.738 Br
-6.416 -1.144 -1.667 Br
-6.513 4.318 10.485 Br
-8.529 5.421 7.304 Br
-6.518 2.603 -0.148 Br
-9.746 2.359 9.434 Br
-4.401 -2.247 1.514 Br
-4.776 1.209 3.080 Br
-7.374 3.051 8.171 Pu
-5.556 0.124 0.647 Pu
0.000 0.000 0.000 Tl
-3.903 4.312 3.968 Tl
-9.459 4.436 4.615 Na
-3.471 -1.261 4.203 Na
```

=====

The following is a PBE calculation of a relaxed Na2PuTlBr8 crystal, from Alexandria.

Calculated density ... 4.4 g/cm3
Calculated total energy ... -46.84 eV/cell
Uncorrected formation energy ... -1.177 eV per atom

Cell and atoms, written as POSCAR:
```
Na2PuTlBr8
1.0
-3.776 -5.492 1.802
5.509 -3.497 -1.444
2.896 0.910 8.846
Br Pu Tl Na
8 1 1 2
Cartesian
0.161 -2.741 0.230 Br
2.702 -5.653 4.641 Br
5.984 -2.868 6.097 Br
4.333 -3.386 1.056 Br
-1.354 -5.211 3.106 Br
0.296 -4.693 8.148 Br
1.927 -2.426 4.562 Br
4.468 -5.338 8.974 Br
0.000 0.000 0.000 Pu
1.448 0.455 4.423 Tl
1.573 -4.273 2.335 Na
3.056 -3.806 6.868 Na
```

=====

The following is a PBE calculation of a relaxed NaPu2TlBr8 crystal, from Alexandria.

Calculated density ... 4.9 g/cm3
Calculated total energy ... -62.48 eV/cell
Uncorrected formation energy ... -1.396 eV per atom

Cell and atoms, written as POSCAR:
```
NaPu2TlBr8
1.0
-2.383 0.436 -6.892
5.564 -3.376 -2.636
-4.239 -7.752 0.976
Br Na Tl Pu
8 1 1 2
Cartesian
0.440 -8.387 -2.394 Br
2.724 -4.208 -2.919 Br
-3.782 -6.484 -5.633 Br
0.683 -0.777 -3.200 Br
-1.449 -4.658 -2.804 Br
-1.498 -2.306 -6.158 Br
-1.741 -9.916 -5.352 Br
0.391 -6.035 -5.748 Br
0.000 0.000 0.000 Na
-2.120 -3.876 0.488 Tl
0.549 -3.375 -4.524 Pu
-1.607 -7.317 -4.028 Pu
```

=====

The following is a PBE calculation of a relaxed NaPuUBr6 crystal, from Alexandria.

Calculated density ... 5.1 g/cm3
Calculated total energy ... -98.76 eV/cell
Uncorrected formation energy ... -1.378 eV per atom

Cell and atoms, written as POSCAR:
```
NaPuUBr6
1.0
7.361 0.000 0.000
-3.681 6.375 0.000
0.000 0.000 13.637
Pu Br U Na
2 12 2 2
Cartesian
3.681 2.125 10.228 Pu
0.000 4.250 3.409 Pu
-1.137 6.350 8.547 Br
4.817 0.025 5.090 Br
2.430 4.159 1.728 Br
-2.387 4.184 11.909 Br
4.931 4.159 5.090 Br
2.387 4.184 8.547 Br
2.544 0.025 1.728 Br
1.294 2.190 5.090 Br
1.137 6.350 11.909 Br
-1.250 2.216 8.547 Br
1.250 2.216 11.909 Br
6.067 2.190 1.728 Br
3.681 2.125 3.409 U
0.000 4.250 10.228 U
0.000 0.000 6.819 Na
0.000 0.000 0.000 Na
```

=====

The following is a PBE calculation of a relaxed Rb5NaBr6 crystal, from Alexandria.

Calculated density ... 3.2 g/cm3
Calculated total energy ... -36.56 eV/cell
Uncorrected formation energy ... -1.697 eV per atom

Cell and atoms, written as POSCAR:
```
Rb5NaBr6
1.0
-4.116 0.464 7.310
-2.954 -7.599 2.074
4.708 -5.228 4.611
Rb Br Na
5 6 1
Cartesian
0.552 -4.511 7.054 Rb
0.585 -4.276 2.228 Rb
-2.914 -7.851 6.941 Rb
1.170 -8.551 4.457 Rb
-3.535 -3.567 4.692 Rb
-0.463 -10.477 6.818 Br
-1.649 -1.642 2.198 Br
-1.059 -6.220 9.552 Br
-1.303 -6.142 4.443 Br
-5.421 -5.492 7.186 Br
-1.899 -1.885 7.176 Br
0.000 0.000 0.000 Na
```

=====

The following is a PBE calculation of a relaxed RbNa5Br6 crystal, from Alexandria.

Calculated density ... 2.9 g/cm3
Calculated total energy ... -68.92 eV/cell
Uncorrected formation energy ... -1.405 eV per atom

Cell and atoms, written as POSCAR:
```
RbNa5Br6
1.0
-4.061 -6.707 -0.916
4.372 1.114 6.478
-11.471 6.029 6.705
Na Br Rb
10 12 2
Cartesian
-6.985 -1.086 4.901 Na
1.561 -1.493 4.013 Na
-8.477 2.254 7.283 Na
-1.250 -4.100 1.548 Na
-4.174 1.521 7.365 Na
-11.017 0.533 4.484 Na
-2.683 -1.819 4.983 Na
-1.095 1.959 4.302 Na
-4.514 -1.212 1.305 Na
-6.004 5.184 8.880 Na
-4.288 0.378 4.491 Br
-1.534 3.039 6.809 Br
-8.478 1.401 3.819 Br
-8.620 5.709 8.159 Br
-1.233 -1.228 2.705 Br
-11.534 3.007 5.605 Br
-3.998 -3.686 0.184 Br
-9.927 1.663 9.562 Br
-6.872 0.058 7.776 Br
-5.565 4.103 6.374 Br
-7.053 -2.080 1.969 Br
1.521 1.433 5.023 Br
-8.603 4.521 5.029 Rb
-2.868 1.507 1.676 Rb
```

=====

The following is a PBE calculation of a relaxed RbNa2Br crystal, from Alexandria.

Calculated density ... 2.0 g/cm3
Calculated total energy ... -6.74 eV/cell
Uncorrected formation energy ... -0.365 eV per atom

Cell and atoms, written as POSCAR:
```
RbNa2Br
1.0
-1.684 -0.748 5.976
-5.824 -1.793 1.407
-1.046 -5.737 2.260
Na Br Rb
2 1 1
Cartesian
-6.416 -6.208 7.232 Na
-2.139 -2.069 2.411 Na
0.000 0.000 0.000 Br
-4.277 -4.138 4.821 Rb
```

=====

The following is a PBE calculation of a relaxed Rb2Na3Br5 crystal, from Alexandria.

Calculated density ... 3.1 g/cm3
Calculated total energy ... -30.43 eV/cell
Uncorrected formation energy ... -1.618 eV per atom

Cell and atoms, written as POSCAR:
```
Rb2Na3Br5
1.0
4.489 0.000 0.996
1.818 7.725 2.423
0.214 -0.845 9.651
Na Rb Br
3 2 5
Cartesian
1.716 4.865 2.880 Na
4.804 2.015 10.189 Na
3.260 3.440 6.535 Na
4.852 6.505 9.974 Rb
1.668 0.375 3.096 Rb
0.947 1.390 6.343 Br
3.923 3.129 3.546 Br
2.597 3.751 9.524 Br
5.573 5.490 6.726 Br
0.000 0.000 0.000 Br
```

=====

The following is a PBE calculation of a relaxed Rb3Na5Br12 crystal, from Alexandria.

Calculated density ... 2.8 g/cm3
Calculated total energy ... -206.45 eV/cell
Uncorrected formation energy ... -1.102 eV per atom

Cell and atoms, written as POSCAR:
```
Rb3Na5Br12
1.0
15.962 0.000 0.000
-5.321 15.049 0.000
-5.321 -7.524 13.033
Br Na Rb
48 20 12
Cartesian
-2.559 3.480 7.697 Br
3.568 9.834 0.835 Br
0.177 9.491 8.934 Br
-4.134 12.539 1.181 Br
-0.908 9.402 1.583 Br
-2.484 -0.771 6.170 Br
7.073 7.956 2.418 Br
10.742 1.164 0.346 Br
5.422 2.880 7.351 Br
3.568 5.647 1.583 Br
-1.474 5.015 11.851 Br
-5.219 11.005 5.335 Br
-5.422 6.361 12.686 Br
-0.101 4.644 5.682 Br
6.507 -1.484 8.099 Br
1.474 1.484 8.099 Br
7.879 4.044 5.335 Br
-2.559 -6.361 12.686 Br
11.827 3.994 3.752 Br
-1.474 -3.530 9.280 Br
-0.908 5.215 0.835 Br
2.484 5.558 8.934 Br
5.144 -1.966 4.099 Br
-2.837 8.720 10.268 Br
9.455 -5.015 11.851 Br
6.229 -1.878 11.450 Br
2.559 -2.880 7.351 Br
11.549 7.092 2.418 Br
7.879 13.885 0.346 Br
6.795 2.510 1.181 Br
2.837 1.966 4.099 Br
1.752 1.878 11.450 Br
8.157 -1.196 2.764 Br
7.804 8.295 6.863 Br
6.229 2.310 12.198 Br
2.762 10.405 5.682 Br
3.846 6.040 4.933 Br
6.795 11.055 3.752 Br
-5.144 6.754 6.863 Br
-1.752 -0.432 10.615 Br
10.464 0.771 6.170 Br
-1.186 9.009 4.933 Br
-6.507 3.530 9.280 Br
-6.229 0.432 10.615 Br
1.752 -2.310 12.198 Br
10.540 -3.480 7.697 Br
5.497 6.329 10.268 Br
-0.177 1.196 2.764 Br
9.311 -0.941 8.145 Na
-5.321 3.762 6.516 Na
1.330 4.703 11.403 Na
-1.330 12.227 1.629 Na
5.321 -3.762 6.516 Na
3.990 2.822 1.629 Na
-1.330 0.941 8.145 Na
6.651 6.584 4.887 Na
5.321 7.524 0.000 Na
-1.330 3.762 3.258 Na
3.990 11.286 3.258 Na
-2.660 7.524 0.000 Na
6.651 3.762 9.774 Na
6.651 -4.703 11.403 Na
-2.660 -3.762 6.516 Na
2.660 3.762 6.516 Na
7.981 0.000 0.000 Na
1.330 -3.762 9.774 Na
-3.990 8.465 4.887 Na
0.000 0.000 0.000 Na
-3.990 2.822 11.403 Rb
1.330 -0.941 4.887 Rb
-1.330 6.584 8.145 Rb
1.330 7.524 3.258 Rb
3.990 8.465 8.145 Rb
11.971 0.000 3.258 Rb
9.311 4.703 1.629 Rb
-3.990 -2.822 11.403 Rb
6.651 0.941 4.887 Rb
3.990 0.000 9.774 Rb
-6.651 7.524 9.774 Rb
9.311 10.346 1.629 Rb
```

=====

The following is a PBE calculation of a relaxed RbNa2Br2 crystal, from Alexandria.

Calculated density ... 2.6 g/cm3
Calculated total energy ... -12.65 eV/cell
Uncorrected formation energy ... -1.140 eV per atom

Cell and atoms, written as POSCAR:
```
RbNa2Br2
1.0
-2.491 -1.846 4.667
0.875 -5.290 -1.626
4.468 -3.562 4.339
Br Na Rb
2 2 1
Cartesian
2.268 -6.210 2.117 Br
0.585 -4.488 5.263 Br
1.939 -7.132 4.940 Na
0.913 -3.566 2.440 Na
0.000 0.000 0.000 Rb
```

=====

The following is a PBE calculation of a relaxed RbNa2Br crystal, from Alexandria.

Calculated density ... 1.8 g/cm3
Calculated total energy ... -7.75 eV/cell
Uncorrected formation energy ... -0.619 eV per atom

Cell and atoms, written as POSCAR:
```
RbNa2Br
1.0
4.346 0.000 0.000
2.173 3.764 0.000
2.173 1.255 11.652
Na Rb Br
2 1 1
Cartesian
2.173 1.255 7.564 Na
6.520 3.764 4.088 Na
0.000 0.000 0.000 Rb
4.346 2.509 5.826 Br
```

=====

The following is a PBE calculation of a relaxed Rb3NaBr6 crystal, from Alexandria.

Calculated density ... 2.8 g/cm3
Calculated total energy ... -25.12 eV/cell
Uncorrected formation energy ... -1.087 eV per atom

Cell and atoms, written as POSCAR:
```
Rb3NaBr6
1.0
8.585 0.000 0.000
0.000 8.585 0.000
4.292 4.292 6.070
Na Br Rb
1 6 3
Cartesian
4.292 4.292 0.000 Na
6.296 2.289 0.000 Br
2.289 2.289 0.000 Br
6.296 6.296 0.000 Br
8.585 8.585 3.236 Br
2.289 6.296 0.000 Br
4.292 4.292 2.833 Br
0.000 0.000 0.000 Rb
4.292 8.585 3.035 Rb
8.585 4.292 3.035 Rb
```

=====

The following is a PBE calculation of a relaxed Rb2NaBr2 crystal, from Alexandria.

Calculated density ... 2.9 g/cm3
Calculated total energy ... -25.56 eV/cell
Uncorrected formation energy ... -1.236 eV per atom

Cell and atoms, written as POSCAR:
```
Rb2NaBr2
1.0
-5.005 -7.091 -3.773
4.137 1.535 -8.372
3.291 -2.904 1.094
Na Rb Br
2 4 4
Cartesian
-0.434 -2.778 -6.073 Na
0.000 0.000 0.000 Na
1.918 -4.748 -9.027 Rb
-1.162 -6.948 -5.603 Rb
0.505 -3.712 -2.025 Rb
3.584 -1.513 -5.449 Rb
1.769 -1.151 -8.380 Br
-1.522 -4.989 -8.671 Br
0.654 -0.567 -3.475 Br
-2.637 -4.405 -3.765 Br
```

=====

The following is a PBE calculation of a relaxed Rb3NaBr crystal, from Alexandria.

Calculated density ... 1.9 g/cm3
Calculated total energy ... -9.06 eV/cell
Uncorrected formation energy ... -0.632 eV per atom

Cell and atoms, written as POSCAR:
```
Rb3NaBr
1.0
6.853 0.000 0.000
0.000 6.853 0.000
0.000 0.000 6.853
Br Rb Na
1 3 1
Cartesian
0.000 0.000 0.000 Br
0.000 3.426 0.000 Rb
3.426 0.000 0.000 Rb
0.000 0.000 3.426 Rb
3.426 3.426 3.426 Na
```

=====

The following is a PBE calculation of a relaxed RbNa3Br4 crystal, from Alexandria.

Calculated density ... 3.1 g/cm3
Calculated total energy ... -24.19 eV/cell
Uncorrected formation energy ... -1.571 eV per atom

Cell and atoms, written as POSCAR:
```
RbNa3Br4
1.0
4.434 -0.052 0.079
0.056 7.438 2.170
-0.126 0.430 7.735
Na Rb Br
3 1 4
Cartesian
-0.035 3.935 4.953 Na
4.308 0.379 7.814 Na
2.154 0.190 3.907 Na
2.119 4.124 8.860 Rb
4.386 6.034 7.361 Br
2.130 2.062 6.263 Br
2.233 5.756 3.721 Br
4.411 1.731 2.702 Br
```

=====

The following is a PBE calculation of a relaxed RbNa3Br crystal, from Alexandria.

Calculated density ... 1.7 g/cm3
Calculated total energy ... -8.76 eV/cell
Uncorrected formation energy ... -0.432 eV per atom

Cell and atoms, written as POSCAR:
```
RbNa3Br
1.0
6.138 0.000 0.000
0.000 6.138 0.000
0.000 0.000 6.138
Na Br Rb
3 1 1
Cartesian
0.000 0.000 3.069 Na
0.000 3.069 0.000 Na
3.069 0.000 0.000 Na
0.000 0.000 0.000 Br
3.069 3.069 3.069 Rb
```

=====

The following is a PBE calculation of a relaxed RbNa4Br5 crystal, from Alexandria.

Calculated density ... 3.1 g/cm3
Calculated total energy ... -30.34 eV/cell
Uncorrected formation energy ... -1.573 eV per atom

Cell and atoms, written as POSCAR:
```
RbNa4Br5
1.0
4.264 0.000 0.974
1.799 7.146 1.946
-0.045 -0.044 10.018
Na Br Rb
4 5 1
Cartesian
1.530 2.767 3.122 Na
2.898 1.472 6.957 Na
3.120 5.631 5.982 Na
4.488 4.336 9.817 Na
3.538 0.673 4.153 Br
2.237 2.417 9.850 Br
3.781 4.686 3.089 Br
0.877 3.551 5.982 Br
2.480 6.430 8.785 Br
0.000 0.000 0.000 Rb
```